No. 1
CaHoTl: optimized geometry, GGA-PBE.

Structure (POSCAR):
```
CaHoTl
1.0
5.391 0.000 0.000
-2.695 4.670 0.000
0.000 0.000 6.936
Ca Ho Tl
2 2 2
direct
0.000 0.000 0.000
0.000 0.000 0.500
0.667 0.333 0.250
0.333 0.667 0.750
0.333 0.667 0.250
0.667 0.333 0.750
```

## Properties
DOS(E_F) = 0.27 states/eV per atom
Space group = P6_3/mmc
Energy relative to the lowest polymorph listed for this composition = 0 meV/atom
Formation energy = -0.31 eV per atom

=====

No. 2
Pr2Fe2C2N: optimized geometry, GGA-PBE.

Structure (POSCAR):
```
Pr2Fe2C2N
1.0
3.465 0.000 0.000
1.733 5.147 -0.156
1.733 1.782 5.257
Pr Fe C N
2 2 2 1
direct
0.566 0.192 0.675
0.434 0.808 0.325
0.203 0.675 0.919
0.797 0.325 0.081
0.202 0.367 0.229
0.798 0.633 0.771
0.000 0.000 0.000
```

## Properties
DOS(E_F) = 0.61 states/eV per atom
Space group = C2/m
ΔE_f (raw) = -338 meV/atom

=====

No. 3
YSe: optimized geometry, GGA-PBE.

Structure (POSCAR):
```
YSe
1.0
-3.343 0.732 -0.983
-0.615 -3.472 -0.496
-1.061 -0.296 3.386
Se Y
1 1
direct
0.000 0.000 0.000
0.500 0.500 0.500
```

## Properties
DOS(E_F) = 0.57 states/eV per atom
Space group = Pm-3m
ΔE_f (raw) = -1517 meV/atom

=====

No. 4
Pm2HoMgO: optimized geometry, GGA-PBE.

Structure (POSCAR):
```
Pm2HoMgO
1.0
-2.473 3.917 -0.848
-3.020 -2.575 -3.089
-3.033 -1.079 3.864
Pm Ho Mg O
2 1 1 1
direct
0.000 0.000 0.500
0.000 0.500 0.000
0.500 0.000 0.000
0.500 0.500 0.500
0.000 0.000 0.000
```

## Properties
DOS(E_F) = 0.78 states/eV per atom
Space group = P4/mmm
ΔE_f (raw) = -1196 meV/atom

=====

No. 5
TbMg3Sc3: optimized geometry, GGA-PBE.

Structure (POSCAR):
```
TbMg3Sc3
1.0
5.292 0.000 0.000
0.000 7.583 -4.332
0.000 -0.041 8.740
Tb Mg Sc
2 6 6
direct
0.750 0.334 0.667
0.250 0.666 0.333
0.750 0.911 0.380
0.750 0.469 0.089
0.750 0.621 0.531
0.250 0.089 0.620
0.250 0.531 0.911
0.250 0.379 0.469
0.750 0.772 0.968
0.750 0.196 0.229
0.750 0.033 0.804
0.250 0.228 0.032
0.250 0.804 0.771
0.250 0.967 0.196
```

## Properties
DOS(E_F) = 1.53 states/eV per atom
Space group = P2_1/m
Formation energy = 0.01 eV per atom

=====

No. 6
Pr4Pb: optimized geometry, GGA-PBE.

Structure (POSCAR):
```
Pr4Pb
1.0
-3.089 -4.564 -2.508
3.786 -3.970 2.562
-3.575 -0.261 4.880
Pb Pr
1 4
direct
0.500 0.500 0.500
0.000 0.000 0.000
0.500 0.000 0.500
0.000 0.500 0.500
0.500 0.500 0.000
```

## Properties
DOS(E_F) = 2.30 states/eV per atom
Space group = Pm-3m
Energy relative to the lowest polymorph listed for this composition = 486 meV/atom
Formation energy = 0.31 eV per atom

=====

No. 7
MnTl2Ni: optimized geometry, GGA-PBE.

Structure (POSCAR):
```
MnTl2Ni
1.0
-2.191 -2.316 -6.713
-0.324 -2.172 4.090
-3.361 -0.443 -0.507
Mn Ni Tl
1 1 2
direct
0.000 0.500 0.500
0.500 0.500 0.000
0.000 0.000 0.000
0.500 0.000 0.500
```

## Properties
DOS(E_F) = 0.47 states/eV per atom
Space group = C2/m
Energy relative to the lowest polymorph listed for this composition = 162 meV/atom
Formation energy = 0.45 eV per atom

=====

No. 8
SiSn3Te: optimized geometry, GGA-PBE.

Structure (POSCAR):
```
SiSn3Te
1.0
5.794 0.000 0.000
0.000 5.794 0.000
0.000 0.000 5.794
Si Te Sn
1 1 3
direct
0.500 0.500 0.500
0.000 0.000 0.000
0.000 0.500 0.000
0.000 0.000 0.500
0.500 0.000 0.000
```

## Properties
DOS(E_F) = 0.38 states/eV per atom
Space group = Pm-3m
ΔE_f (raw) = 1017 meV/atom
Energy relative to the lowest polymorph listed for this composition = 629 meV/atom

=====

No. 9
LaZr2AlN: optimized geometry, GGA-PBE.

Structure (POSCAR):
```
LaZr2AlN
1.0
4.528 0.000 0.000
0.000 4.528 0.000
0.000 0.000 5.027
N Al Zr La
1 1 2 1
direct
0.000 0.000 0.000
0.500 0.500 0.500
0.000 0.500 0.000
0.500 0.000 0.000
0.000 0.000 0.500
```

## Properties
DOS(E_F) = 0.75 states/eV per atom
Space group = P4/mmm
ΔE_f (raw) = -695 meV/atom

=====

No. 10
Ho2Er3In2: optimized geometry, GGA-PBE.

Structure (POSCAR):
```
Ho2Er3In2
1.0
-1.816 4.526 0.643
-1.264 -0.938 3.035
9.023 5.516 5.463
Ho Er In
2 3 2
direct
0.714 0.500 0.571
0.286 0.500 0.429
0.856 0.000 0.288
0.000 0.000 0.000
0.144 0.000 0.712
0.571 0.500 0.857
0.429 0.500 0.143
```

## Properties
DOS(E_F) = 0.83 states/eV per atom
Space group = Cmmm
Energy relative to the lowest polymorph listed for this composition = 124 meV/atom
Formation energy = -0.15 eV per atom

=====

No. 11
GePd: optimized geometry, GGA-PBE.

Structure (POSCAR):
```
GePd
1.0
8.562 0.000 0.000
0.000 8.562 0.000
0.000 0.000 4.816
Ge Pd
8 8
direct
0.615 0.115 0.000
0.615 0.885 0.500
0.385 0.115 0.500
0.385 0.885 0.000
0.885 0.385 0.500
0.885 0.615 0.000
0.115 0.385 0.000
0.115 0.615 0.500
0.822 0.322 0.000
0.822 0.678 0.500
0.178 0.322 0.500
0.178 0.678 0.000
0.678 0.178 0.500
0.678 0.822 0.000
0.322 0.178 0.000
0.322 0.822 0.500
```

## Properties
DOS(E_F) = 0.24 states/eV per atom
Space group = I4/mcm
Formation energy = -0.27 eV per atom

=====

No. 12
ReHg3B: optimized geometry, GGA-PBE.

Structure (POSCAR):
```
ReHg3B
1.0
-4.376 -2.115 2.003
-0.103 -3.501 -3.920
2.911 -3.303 2.873
Re B Hg
1 1 3
direct
0.000 0.000 0.000
0.500 0.500 0.500
0.000 0.500 0.000
0.000 0.000 0.500
0.500 0.000 0.000
```

## Properties
DOS(E_F) = 0.51 states/eV per atom
Space group = Pm-3m
Energy relative to the lowest polymorph listed for this composition = 355 meV/atom
Formation energy = 1.86 eV per atom

=====

Going through the records in order, we get size of the total moment values of 0.000 0.000 0.276 0.000 0.106 0.344 0.859 0.000 0.000 0.049 0.000 0.000 μB/atom.